i.
Here is a geometry-optimized VHOs structure from the Alexandria database. Energies are from GGA-PBE.

## Properties
SG = No. 107

Cell: 2.9826 2.9826 4.3672 Å, 109.97 109.97 90.00°
Fractional positions:
H: 0.6833 0.6833 0.3665
Os: 0.9237 0.9237 0.8475
V: 0.2430 0.2430 0.4860

=====

ii.
Here is a geometry-optimized VHOs structure from the Alexandria database. Energies are from GGA-PBE.

## Properties
SG = No. 64

Cell: 5.5165 5.5068 6.5066 Å, 115.04 90.00 90.00°
Fractional positions:
Os: 0.7500 0.5106 0.5000
V: 0.5000 0.1237 0.2475
Os: 0.2500 0.9894 0.5000
H: 0.8551 0.6434 0.0000
V: 0.0000 0.6237 0.2475
H: 0.1449 0.3566 0.0000
Os: 0.7500 0.0106 0.5000
H: 0.3551 0.8566 0.0000
Os: 0.2500 0.4894 0.5000
V: 0.0000 0.3763 0.7525
V: 0.5000 0.8763 0.7525
H: 0.6449 0.1434 0.0000

=====

Computed energies relative to the best structure, in kJ/mol of atoms: i 0.0; ii 10.5

=====

i.
Here is a geometry-optimized V3HOs structure from the Alexandria database. Energies are from GGA-PBE.

## Properties
SG = No. 221

Cell: 4.7225 4.7225 4.7225 Å, 90.00 90.00 90.00°
Last column: magnetic moment on the atom in μB.
Fractional positions:
V: 0.5000 0.0000 0.0000  1.90
Os: 0.0000 0.0000 0.0000  -0.44
H: 0.5000 0.5000 0.5000  -0.12
V: 0.0000 0.0000 0.5000  1.90
V: 0.0000 0.5000 0.0000  1.90

=====

ii.
Here is a geometry-optimized V3HOs structure from the Alexandria database. Energies are from GGA-PBE.

## Properties
SG = No. 221

Cell: 3.8481 3.8481 3.8481 Å, 90.00 90.00 90.00°
Fractional positions:
V: 0.5000 0.0000 0.0000
Os: 0.5000 0.5000 0.5000
V: 0.0000 0.5000 0.0000
H: 0.0000 0.0000 0.0000
V: 0.0000 0.0000 0.5000

=====

Computed energies relative to the best structure, in kJ/mol of atoms: i 163.9; ii 0.0

=====

i.
Here is a geometry-optimized HOsW3 structure from the Alexandria database. Energies are from GGA-PBE.

## Properties
SG = No. 221

Cell: 4.7666 4.7666 4.7666 Å, 90.00 90.00 90.00°
Fractional positions:
W: 0.5000 0.0000 0.0000
Os: 0.0000 0.0000 0.0000
H: 0.5000 0.5000 0.5000
W: 0.0000 0.5000 0.0000
W: 0.0000 0.0000 0.5000

=====

ii.
Here is a geometry-optimized HOsW3 structure from the Alexandria database. Energies are from GGA-PBE.

## Properties
SG = No. 221

Cell: 4.0208 4.0208 4.0208 Å, 90.00 90.00 90.00°
Fractional positions:
Os: 0.5000 0.5000 0.5000
W: 0.0000 0.5000 0.0000
W: 0.5000 0.0000 0.0000
H: 0.0000 0.0000 0.0000
W: 0.0000 0.0000 0.5000

=====

Computed energies relative to the best structure, in kJ/mol of atoms: i 235.5; ii 0.0

=====

i.
Here is a geometry-optimized H2OsW structure from the Alexandria database. Energies are from GGA-PBE.

## Properties
SG = No. 225

Cell: 3.7709 3.7709 3.7709 Å, 60.00 60.00 60.00°
Fractional positions:
H: 0.2500 0.2500 0.2500
W: 0.0000 0.0000 0.0000
H: 0.7500 0.7500 0.7500
Os: 0.5000 0.5000 0.5000

=====

ii.
Here is a geometry-optimized H2OsW structure from the Alexandria database. Energies are from GGA-PBE.

## Properties
SG = No. 122

Cell: 4.1934 4.1934 5.1076 Å, 65.76 65.76 90.00°
Fractional positions:
W: 0.2500 0.7500 0.5000
H: 0.3750 0.3617 0.7500
Os: 0.0000 0.0000 0.0000
H: 0.8750 0.8883 0.7500
H: 0.1117 0.6250 0.2500
H: 0.6383 0.1250 0.2500
Os: 0.7500 0.2500 0.5000
W: 0.5000 0.5000 0.0000

=====

Computed energies relative to the best structure, in kJ/mol of atoms: i 64.6; ii 0.0

=====

i.
Here is a geometry-optimized HOs2W structure from the Alexandria database. Energies are from GGA-PBE.

## Properties
SG = No. 122

Cell: 6.1813 6.1813 5.0666 Å, 52.41 52.41 90.00°
Fractional positions:
W: 0.0000 0.0000 0.0000
Os: 0.8750 0.7815 0.7500
H: 0.5000 0.5000 0.0000
Os: 0.2185 0.6250 0.2500
W: 0.7500 0.2500 0.5000
Os: 0.5315 0.1250 0.2500
H: 0.2500 0.7500 0.5000
Os: 0.3750 0.4685 0.7500

=====

ii.
Here is a geometry-optimized HOs2W structure from the Alexandria database. Energies are from GGA-PBE.

## Properties
SG = No. 225

Cell: 4.2239 4.2239 4.2239 Å, 60.00 60.00 60.00°
Fractional positions:
Os: 0.7500 0.7500 0.7500
W: 0.5000 0.5000 0.5000
H: 0.0000 0.0000 0.0000
Os: 0.2500 0.2500 0.2500

=====

Computed energies relative to the best structure, in kJ/mol of atoms: i 0.0; ii 32.2

=====

i.
Here is a geometry-optimized HOs3W structure from the Alexandria database. Energies are from GGA-PBE.

## Properties
SG = No. 221

Cell: 4.7628 4.7628 4.7628 Å, 90.00 90.00 90.00°
Last column: magnetic moment on the atom in μB.
Fractional positions:
Os: 0.0000 0.0000 0.5000  1.21
H: 0.5000 0.5000 0.5000  0.29
Os: 0.0000 0.5000 0.0000  1.10
W: 0.0000 0.0000 0.0000  -0.16
Os: 0.5000 0.0000 0.0000  0.87

=====

ii.
Here is a geometry-optimized HOs3W structure from the Alexandria database. Energies are from GGA-PBE.

## Properties
SG = No. 221

Cell: 3.9372 3.9372 3.9372 Å, 90.00 90.00 90.00°
Fractional positions:
W: 0.5000 0.5000 0.5000
Os: 0.5000 0.0000 0.0000
Os: 0.0000 0.0000 0.5000
Os: 0.0000 0.5000 0.0000
H: 0.0000 0.0000 0.0000

=====

Computed energies relative to the best structure, in kJ/mol of atoms: i 273.5; ii 0.0